# 1
The following is a DFT calculation (PBE) of crystalline Lu2HfPd at its relaxed geometry.

Cell lengths 4.997, 4.997, 4.997 Å; angles 60.00, 60.00, 60.00 degrees
Positions (direct):
Hf  0.250  0.250  0.250
Lu  0.000  0.000  0.000
Lu  0.750  0.750  0.750
Pd  0.500  0.500  0.500

Values from the calculation:
The calculated volume is 22.1 Å³ per atom. The value obtained for the mass density is 12.0 g/cm³. The formation energy is -0.0512 eV/atom. As for the symmetry: No. 216.

# 2
The following is a DFT calculation (PBE) of crystalline Ba2TbSnO6 at its relaxed geometry.

Cell lengths 6.058, 6.058, 6.058 Å; angles 120.02, 120.02, 89.96 degrees
Positions (direct):
Ba  0.750  0.250  0.500
Ba  0.250  0.750  0.500
O  0.759  0.241  0.000
O  0.241  0.241  0.000
O  0.759  0.759  0.000
O  0.241  0.759  0.000
O  0.241  0.241  0.481
O  0.759  0.759  0.519
Sn  0.000  0.000  0.000
Tb  0.500  0.500  0.000

Values from the calculation:
The raw total energy comes out at -67.019 eV per cell. The calculated volume is 15.7 Å³ per atom. The value obtained for the mass density is 6.9 g/cm³. As for the symmetry: No. 225.

# 3
The following is a DFT calculation (PBE) of crystalline Ho3NiSn3Ir2 at its relaxed geometry.

Cell lengths 7.559, 7.559, 3.745 Å; angles 90.00, 90.00, 120.00 degrees
Positions (direct):
Ho  0.405  0.000  0.500
Ho  0.000  0.405  0.500
Ho  0.595  0.595  0.500
Ir  0.667  0.333  0.000
Ir  0.333  0.667  0.000
Ni  0.000  0.000  0.500
Sn  0.743  0.000  0.000
Sn  0.257  0.257  0.000
Sn  0.000  0.743  0.000

Values from the calculation:
The raw total energy comes out at -56.230 eV per cell. The calculated volume is 20.6 Å³ per atom. The value obtained for the mass density is 11.6 g/cm³. As for the symmetry: No. 189.

# 4
The following is a DFT calculation (PBE) of crystalline LuMgAsOs at its relaxed geometry.

Cell lengths 4.696, 4.696, 4.696 Å; angles 60.00, 60.00, 60.00 degrees
Positions (direct):
As  0.500  0.500  0.500
Lu  0.250  0.250  0.250
Mg  0.750  0.750  0.750
Os  0.000  0.000  0.000

Values from the calculation:
The calculated volume is 18.3 Å³ per atom. The value obtained for the energy above the most stable polymorph in this dataset is 0.000 eV per atom. The value obtained for the mass density is 10.5 g/cm³. As for the symmetry: No. 216.

# 5
The following is a DFT calculation (PBE) of crystalline Tb3GdC2S2 at its relaxed geometry.

Cell lengths 3.734, 3.734, 13.015 Å; angles 90.00, 90.00, 120.00 degrees
Positions (direct):
C  0.667  0.333  0.001
C  0.667  0.333  0.500
Gd  0.000  0.000  0.895
S  0.000  0.000  0.250
S  0.333  0.667  0.749
Tb  0.333  0.667  0.105
Tb  0.333  0.667  0.396
Tb  0.000  0.000  0.604

Values from the calculation:
The raw total energy comes out at -55.054 eV per cell. The calculated volume is 19.6 Å³ per atom. The value obtained for the mass density is 7.6 g/cm³. As for the symmetry: No. 156.

# 6
The following is a DFT calculation (PBE) of crystalline Tm3HgN at its relaxed geometry.

Cell lengths 4.706, 4.706, 4.706 Å; angles 90.00, 90.00, 90.00 degrees
Positions (direct):
Hg  0.500  0.500  0.500
N  0.000  0.000  0.000
Tm  0.500  0.000  0.000
Tm  0.000  0.500  0.000
Tm  0.000  0.000  0.500

Values from the calculation:
The raw total energy comes out at -26.897 eV per cell. The calculated volume is 20.8 Å³ per atom. The value obtained for the mass density is 11.5 g/cm³. As for the symmetry: No. 221.

# 7
The following is a DFT calculation (PBE) of crystalline HoPuSe3 at its relaxed geometry.

Cell lengths 6.891, 6.891, 9.956 Å; angles 90.00, 90.00, 146.29 degrees
Positions (direct):
Ho  0.000  0.000  0.000
Ho  0.000  0.000  0.500
Pu  0.750  0.250  0.250
Pu  0.250  0.750  0.750
Se  0.355  0.645  0.068
Se  0.093  0.907  0.250
Se  0.355  0.645  0.432
Se  0.645  0.355  0.568
Se  0.907  0.093  0.750
Se  0.645  0.355  0.932

Values from the calculation:
The raw total energy comes out at -74.995 eV per cell. The calculated volume is 26.2 Å³ per atom. The value obtained for the mass density is 8.2 g/cm³. As for the symmetry: No. 63.

# 8
The following is a DFT calculation (PBE) of crystalline CdAgO3 at its relaxed geometry.

Cell lengths 5.448, 5.649, 7.866 Å; angles 90.00, 90.00, 90.00 degrees
Positions (direct):
Ag  0.500  0.000  0.000
Ag  0.000  0.500  0.000
Ag  0.500  0.000  0.500
Ag  0.000  0.500  0.500
Cd  0.981  0.057  0.250
Cd  0.519  0.557  0.250
Cd  0.481  0.443  0.750
Cd  0.019  0.943  0.750
O  0.701  0.296  0.072
O  0.799  0.796  0.072
O  0.128  0.437  0.250
O  0.372  0.937  0.250
O  0.701  0.296  0.428
O  0.799  0.796  0.428
O  0.201  0.204  0.572
O  0.299  0.704  0.572
O  0.628  0.063  0.750
O  0.872  0.563  0.750
O  0.201  0.204  0.928
O  0.299  0.704  0.928

Values from the calculation:
The raw total energy comes out at -78.859 eV per cell. The calculated volume is 12.1 Å³ per atom. The value obtained for the mass density is 7.4 g/cm³. As for the symmetry: No. 62.